(1)
# GGA-PBE Ta4BeCo, relaxed
data_Ta4BeCo
_symmetry_space_group_name_H-M 'P 1'
_symmetry_Int_Tables_number 1
_symmetry_space_group_name_Hall 'P 1'
_cell_length_a 5.3139
_cell_length_b 5.3139
_cell_length_c 5.3139
_cell_angle_alpha 60.00
_cell_angle_beta 60.00
_cell_angle_gamma 60.00
loop_
_atom_site_label
_atom_site_fract_x
_atom_site_fract_y
_atom_site_fract_z
_atom_site_occupancy
Ta1 0.6245 0.6245 0.1265 1
Ta2 0.6245 0.1265 0.6245 1
Ta3 0.6245 0.6245 0.6245 1
Ta4 0.1265 0.6245 0.6245 1
Be1 0.2500 0.2500 0.2500 1
Co1 0.0000 0.0000 0.0000 1
# Symmetry: F-43m, No. 216
# Formation energy: 0.81 eV/atom

(2)
# GGA-PBE PmSnTe4Pb2, relaxed
data_PmSnTe4Pb2
_symmetry_space_group_name_H-M 'P 1'
_symmetry_Int_Tables_number 1
_symmetry_space_group_name_Hall 'P 1'
_cell_length_a 4.4343
_cell_length_b 8.0362
_cell_length_c 8.0555
_cell_angle_alpha 72.77
_cell_angle_beta 90.00
_cell_angle_gamma 90.00
loop_
_atom_site_label
_atom_site_fract_x
_atom_site_fract_y
_atom_site_fract_z
_atom_site_occupancy
Pm1 0.0000 0.5000 0.5000 1
Sn1 0.5000 0.5000 0.0000 1
Te1 0.0000 0.7389 0.7522 1
Te2 0.0000 0.2611 0.2478 1
Te3 0.5000 0.7390 0.2540 1
Te4 0.5000 0.2610 0.7460 1
Pb1 0.0000 0.0000 0.0000 1
Pb2 0.5000 0.0000 0.5000 1
# Symmetry: P2/m, No. 10
# Formation energy without anion corrections: -447.8 kJ/mol of formula units

(3)
# GGA-PBE Pr3Er2Tm6, relaxed
data_Pr3Er2Tm6
_symmetry_space_group_name_H-M 'P 1'
_symmetry_Int_Tables_number 1
_symmetry_space_group_name_Hall 'P 1'
_cell_length_a 6.1514
_cell_length_b 6.1610
_cell_length_c 11.4775
_cell_angle_alpha 84.81
_cell_angle_beta 79.56
_cell_angle_gamma 60.05
loop_
_atom_site_label
_atom_site_fract_x
_atom_site_fract_y
_atom_site_fract_z
_atom_site_occupancy
Pr1 0.0000 0.0000 0.0000 1
Pr2 0.3356 0.3287 0.0000 1
Pr3 0.6644 0.6713 0.0000 1
Er1 0.1660 0.6679 0.5000 1
Er2 0.8340 0.3321 0.5000 1
Tm1 0.4190 0.6673 0.7438 1
Tm2 0.7515 0.0000 0.7443 1
Tm3 0.0863 0.3327 0.7438 1
Tm4 0.2485 0.0000 0.2557 1
Tm5 0.5810 0.3327 0.2562 1
Tm6 0.9137 0.6673 0.2562 1
# Symmetry: C2/m, No. 12
# Formation energy: 0.21 eV/atom

Number 1: volume 17.683 A^3/atom, VASP energy -53.35 eV/f.u.. Number 2: volume 34.272 A^3/atom, VASP energy -33.38 eV/f.u.. Number 3: volume 33.697 A^3/atom, VASP energy -47.96 eV/f.u..